Below is GaSi3Os after structural relaxation, with properties calculated at the PBE level.

Properties
crystal system = cubic
DOS(E_F) = 2.86 states/eV/f.u.
total DFT energy (no corrections) = -0.412 Ry/atom
magnetic moment = 0.000 μB per formula unit

a b c (Å): 4.6675 4.6675 4.6675
angles (deg): 90.00 90.00 90.00
Closest atoms and distances in Å follow each position.
Fractional positions:
Si  0.0000  0.0000  0.5000  2 Os 2.33
Si  0.5000  0.0000  0.0000  2 Os 2.33
Os  0.0000  0.0000  0.0000  6 Si 2.33
Si  0.0000  0.5000  0.0000  2 Os 2.33
Ga  0.5000  0.5000  0.5000  12 Si 3.30

=====

Below is Hf5NiRu4 after structural relaxation, with properties calculated at the PBE level.

Properties
crystal system = tetragonal
ΔH_f (0 K) = -0.72 eV per atom
DOS(E_F) = 6.61 states/eV/f.u.
magnetic moment = 0.001 μB per formula unit

a b c (Å): 3.2262 3.2262 16.2551
angles (deg): 90.00 90.00 90.00
Closest atoms and distances in Å follow each position.
Fractional positions:
Ru  0.0000  0.0000  0.8019  8 Hf 2.80-2.81
Ni  0.0000  0.0000  0.0000  8 Hf 2.77
Hf  0.5000  0.5000  0.5000  8 Ru 2.81
Ru  0.0000  0.0000  0.1981  8 Hf 2.80-2.81
Hf  0.5000  0.5000  0.0968  4 Ni 2.77, 4 Ru 2.81
Hf  0.5000  0.5000  0.9032  4 Ni 2.77, 4 Ru 2.81
Ru  0.0000  0.0000  0.6007  8 Hf 2.81
Ru  0.0000  0.0000  0.3993  8 Hf 2.81
Hf  0.5000  0.5000  0.7016  8 Ru 2.80-2.81
Hf  0.5000  0.5000  0.2984  8 Ru 2.80-2.81

=====

Below is BaTe3Au after structural relaxation, with properties calculated at the PBE level.

Properties
crystal system = cubic
DOS(E_F) = 5.57 states/eV/f.u.
total DFT energy (no corrections) = -0.167 Ry/atom
magnetic moment = 3.232 μB per formula unit

a b c (Å): 6.6292 6.6292 6.6292
angles (deg): 90.00 90.00 90.00
Closest atoms and distances in Å follow each position.
Fractional positions:
Te  0.0000  0.5000  0.0000  2 Ba 3.31
Au  0.5000  0.5000  0.5000  12 Te 4.69
Te  0.0000  0.0000  0.5000  2 Ba 3.31
Te  0.5000  0.0000  0.0000  2 Ba 3.31
Ba  0.0000  0.0000  0.0000  6 Te 3.31